# CeGdCuTc (PBE, optimized geometry)
# - E_form (eV per atom) = -0.056
# - M_tot (μB per cell) = 27.17
data_CeGdCuTc
_chemical_formula_sum 'Ce4 Gd4 Cu4 Tc4'
_cell_length_a 6.951
_cell_length_b 6.951
_cell_length_c 6.951
_cell_angle_alpha 90.00
_cell_angle_beta 90.00
_cell_angle_gamma 90.00
_space_group_name_H-M_alt 'F -4 3 m'
_space_group_IT_number 216
_space_group_name_Hall 'F -4 2 3'
loop_
_atom_site_label
_atom_site_type_symbol
_atom_site_fract_x
_atom_site_fract_y
_atom_site_fract_z
_atom_site_occupancy
Ce1 Ce 0.000 0.000 0.000 1
Gd1 Gd 0.000 0.000 0.500 1
Cu1 Cu 0.250 0.250 0.750 1
Tc1 Tc 0.250 0.250 0.250 1

# CeGdTlCu (PBE, optimized geometry)
# - E_form (eV per atom) = -0.139
# - M_tot (μB per cell) = 28.22
data_CeGdTlCu
_chemical_formula_sum 'Ce4 Gd4 Tl4 Cu4'
_cell_length_a 7.448
_cell_length_b 7.448
_cell_length_c 7.448
_cell_angle_alpha 90.00
_cell_angle_beta 90.00
_cell_angle_gamma 90.00
_space_group_name_H-M_alt 'F -4 3 m'
_space_group_IT_number 216
_space_group_name_Hall 'F -4 2 3'
loop_
_atom_site_label
_atom_site_type_symbol
_atom_site_fract_x
_atom_site_fract_y
_atom_site_fract_z
_atom_site_occupancy
Ce1 Ce 0.000 0.000 0.000 1
Gd1 Gd 0.000 0.000 0.500 1
Tl1 Tl 0.250 0.250 0.250 1
Cu1 Cu 0.250 0.250 0.750 1

# CeCuGe3 (PBE, optimized geometry)
# - E_form (eV per atom) = -0.311
# - M_tot (μB per cell) = 1.13
data_CeCuGe3
_chemical_formula_sum 'Ce2 Cu2 Ge6'
_cell_length_a 4.241
_cell_length_b 8.372
_cell_length_c 6.304
_cell_angle_alpha 90.00
_cell_angle_beta 108.43
_cell_angle_gamma 90.00
_space_group_name_H-M_alt 'P 1 21/m 1'
_space_group_IT_number 11
loop_
_space_group_symop_operation_xyz
'x,y,z'
'-x,-y,-z'
'-x,y+1/2,-z'
'x,-y+1/2,z'
loop_
_atom_site_label
_atom_site_type_symbol
_atom_site_fract_x
_atom_site_fract_y
_atom_site_fract_z
_atom_site_occupancy
Ce1 Ce 0.003 0.250 0.492 1
Cu1 Cu 0.320 0.250 0.092 1
Ge1 Ge 0.260 0.750 0.087 1
Ge2 Ge 0.442 0.005 0.298 1

# Ce2CuGe (PBE, optimized geometry)
# - E_form (eV per atom) = -0.332
# - M_tot (μB per cell) = 1.59
data_Ce2CuGe
_chemical_formula_sum 'Ce2 Cu1 Ge1'
_cell_length_a 3.775
_cell_length_b 3.775
_cell_length_c 6.348
_cell_angle_alpha 90.00
_cell_angle_beta 90.00
_cell_angle_gamma 90.00
_space_group_name_H-M_alt 'P 4/m m m'
_space_group_IT_number 123
_space_group_name_Hall '-P 4 2'
loop_
_atom_site_label
_atom_site_type_symbol
_atom_site_fract_x
_atom_site_fract_y
_atom_site_fract_z
_atom_site_occupancy
Ce1 Ce 0.000 0.000 0.240 1
Cu1 Cu 0.500 0.500 0.500 1
Ge1 Ge 0.500 0.500 0.000 1

# Ce6CuGe2 (PBE, optimized geometry)
# - E_form (eV per atom) = -0.371
# - M_tot (μB per cell) = 8.43
data_Ce6CuGe2
_chemical_formula_sum 'Ce12 Cu2 Ge4'
_cell_length_a 4.071
_cell_length_b 13.842
_cell_length_c 8.010
_cell_angle_alpha 90.00
_cell_angle_beta 90.00
_cell_angle_gamma 90.00
_space_group_name_H-M_alt 'A m m 2'
_space_group_IT_number 38
loop_
_space_group_symop_operation_xyz
'x,y,z'
'-x,-y,z'
'-x,y,z'
'x,-y,z'
'x,y+1/2,z+1/2'
'-x,-y+1/2,z+1/2'
'-x,y+1/2,z+1/2'
'x,-y+1/2,z+1/2'
loop_
_atom_site_label
_atom_site_type_symbol
_atom_site_fract_x
_atom_site_fract_y
_atom_site_fract_z
_atom_site_occupancy
Ce1 Ce 0.000 0.000 0.000 1
Ce2 Ce 0.000 0.130 0.380 1
Ce3 Ce 0.500 0.000 0.690 1
Ce4 Ce 0.500 0.223 0.030 1
Cu1 Cu 0.500 0.000 0.254 1
Ge1 Ge 0.000 0.165 0.752 1

# Ce3Cu7Ge4 (PBE, optimized geometry)
# - E_form (eV per atom) = -0.410
# - M_tot (μB per cell) = 0.77
data_Ce3Cu7Ge4
_chemical_formula_sum 'Ce6 Cu14 Ge8'
_cell_length_a 15.519
_cell_length_b 4.288
_cell_length_c 8.652
_cell_angle_alpha 90.00
_cell_angle_beta 123.70
_cell_angle_gamma 90.00
_space_group_name_H-M_alt 'C 1 2/m 1'
_space_group_IT_number 12
loop_
_space_group_symop_operation_xyz
'x,y,z'
'-x,-y,-z'
'-x,y,-z'
'x,-y,z'
'x+1/2,y+1/2,z'
'-x+1/2,-y+1/2,-z'
'-x+1/2,y+1/2,-z'
'x+1/2,-y+1/2,z'
loop_
_atom_site_label
_atom_site_type_symbol
_atom_site_fract_x
_atom_site_fract_y
_atom_site_fract_z
_atom_site_occupancy
Ce1 Ce 0.000 0.000 0.000 1
Ce2 Ce 0.204 0.500 0.713 1
Cu1 Cu 0.000 0.000 0.500 1
Cu2 Cu 0.001 0.500 0.678 1
Cu3 Cu 0.135 0.000 0.856 1
Cu4 Cu 0.160 0.500 0.308 1
Ge1 Ge 0.136 0.000 0.425 1
Ge2 Ge 0.152 0.500 0.018 1

# CeCu3Ge3 (PBE, optimized geometry)
# - E_form (eV per atom) = 0.034
# - M_tot (μB per cell) = 2.20
data_CeCu3Ge3
_chemical_formula_sum 'Ce2 Cu6 Ge6'
_cell_length_a 6.586
_cell_length_b 6.586
_cell_length_c 6.586
_cell_angle_alpha 90.00
_cell_angle_beta 90.00
_cell_angle_gamma 90.00
_space_group_name_H-M_alt 'P m -3 n'
_space_group_IT_number 223
_space_group_name_Hall '-P 4n 2 3'
loop_
_atom_site_label
_atom_site_type_symbol
_atom_site_fract_x
_atom_site_fract_y
_atom_site_fract_z
_atom_site_occupancy
Ce1 Ce 0.000 0.000 0.000 1
Cu1 Cu 0.000 0.250 0.500 1
Ge1 Ge 0.000 0.500 0.250 1

# Ce2Cu3Ge5 (PBE, optimized geometry)
# - E_form (eV per atom) = -0.416
# - M_tot (μB per cell) = 6.22
data_Ce2Cu3Ge5
_chemical_formula_sum 'Ce8 Cu12 Ge20'
_cell_length_a 11.540
_cell_length_b 12.286
_cell_length_c 6.156
_cell_angle_alpha 90.00
_cell_angle_beta 122.19
_cell_angle_gamma 90.00
_space_group_name_H-M_alt 'C 1 2/c 1'
_space_group_IT_number 15
loop_
_space_group_symop_operation_xyz
'x,y,z'
'-x,-y,-z'
'-x,y,-z+1/2'
'x,-y,z+1/2'
'x+1/2,y+1/2,z'
'-x+1/2,-y+1/2,-z'
'-x+1/2,y+1/2,-z+1/2'
'x+1/2,-y+1/2,z+1/2'
loop_
_atom_site_label
_atom_site_type_symbol
_atom_site_fract_x
_atom_site_fract_y
_atom_site_fract_z
_atom_site_occupancy
Ce1 Ce 0.241 0.126 0.241 1
Cu1 Cu 0.000 0.498 0.750 1
Cu2 Cu 0.112 0.134 0.614 1
Ge1 Ge 0.000 0.000 0.250 1
Ge2 Ge 0.000 0.262 0.250 1
Ge3 Ge 0.000 0.263 0.750 1
Ge4 Ge 0.148 0.393 0.150 1

# CeCu2Ge2 (PBE, optimized geometry)
# - E_form (eV per atom) = -0.502
# - M_tot (μB per cell) = 0.10
data_CeCu2Ge2
_chemical_formula_sum 'Ce2 Cu4 Ge4'
_cell_length_a 4.160
_cell_length_b 4.160
_cell_length_c 10.193
_cell_angle_alpha 90.00
_cell_angle_beta 90.00
_cell_angle_gamma 90.00
_space_group_name_H-M_alt 'I 4/m m m'
_space_group_IT_number 139
_space_group_name_Hall '-I 4 2'
loop_
_atom_site_label
_atom_site_type_symbol
_atom_site_fract_x
_atom_site_fract_y
_atom_site_fract_z
_atom_site_occupancy
Ce1 Ce 0.000 0.000 0.000 1
Cu1 Cu 0.000 0.500 0.250 1
Ge1 Ge 0.000 0.000 0.378 1

# Ce2CuGe (PBE, optimized geometry)
# - E_form (eV per atom) = -0.362
# - M_tot (μB per cell) = 0.00
data_Ce2CuGe
_chemical_formula_sum 'Ce2 Cu1 Ge1'
_cell_length_a 4.518
_cell_length_b 4.518
_cell_length_c 4.204
_cell_angle_alpha 90.00
_cell_angle_beta 90.00
_cell_angle_gamma 90.00
_space_group_name_H-M_alt 'P 4/m m m'
_space_group_IT_number 123
_space_group_name_Hall '-P 4 2'
loop_
_atom_site_label
_atom_site_type_symbol
_atom_site_fract_x
_atom_site_fract_y
_atom_site_fract_z
_atom_site_occupancy
Ce1 Ce 0.000 0.500 0.000 1
Cu1 Cu 0.000 0.000 0.500 1
Ge1 Ge 0.500 0.500 0.500 1

# CeCu3Ge2 (PBE, optimized geometry)
# - E_form (eV per atom) = -0.374
# - M_tot (μB per cell) = 1.71
data_CeCu3Ge2
_chemical_formula_sum 'Ce4 Cu12 Ge8'
_cell_length_a 15.352
_cell_length_b 4.063
_cell_length_c 7.202
_cell_angle_alpha 90.00
_cell_angle_beta 115.89
_cell_angle_gamma 90.00
_space_group_name_H-M_alt 'C 1 2/m 1'
_space_group_IT_number 12
loop_
_space_group_symop_operation_xyz
'x,y,z'
'-x,-y,-z'
'-x,y,-z'
'x,-y,z'
'x+1/2,y+1/2,z'
'-x+1/2,-y+1/2,-z'
'-x+1/2,y+1/2,-z'
'x+1/2,-y+1/2,z'
loop_
_atom_site_label
_atom_site_type_symbol
_atom_site_fract_x
_atom_site_fract_y
_atom_site_fract_z
_atom_site_occupancy
Ce1 Ce 0.147 0.000 0.071 1
Cu1 Cu 0.038 0.000 0.381 1
Cu2 Cu 0.095 0.500 0.668 1
Cu3 Cu 0.190 0.500 0.456 1
Ge1 Ge 0.022 0.500 0.187 1
Ge2 Ge 0.196 0.000 0.699 1

# Ce3Cu2Ge4 (PBE, optimized geometry)
# - E_form (eV per atom) = -0.605
# - M_tot (μB per cell) = 3.72
data_Ce3Cu2Ge4
_chemical_formula_sum 'Ce6 Cu4 Ge8'
_cell_length_a 11.141
_cell_length_b 4.249
_cell_length_c 8.445
_cell_angle_alpha 90.00
_cell_angle_beta 112.86
_cell_angle_gamma 90.00
_space_group_name_H-M_alt 'C 1 2/m 1'
_space_group_IT_number 12
loop_
_space_group_symop_operation_xyz
'x,y,z'
'-x,-y,-z'
'-x,y,-z'
'x,-y,z'
'x+1/2,y+1/2,z'
'-x+1/2,-y+1/2,-z'
'-x+1/2,y+1/2,-z'
'x+1/2,-y+1/2,z'
loop_
_atom_site_label
_atom_site_type_symbol
_atom_site_fract_x
_atom_site_fract_y
_atom_site_fract_z
_atom_site_occupancy
Ce1 Ce 0.000 0.000 0.000 1
Ce2 Ce 0.112 0.500 0.666 1
Cu1 Cu 0.182 0.500 0.326 1
Ge1 Ge 0.109 0.000 0.396 1
Ge2 Ge 0.218 0.500 0.060 1